1.
ScCrC2 PBE optimized geometry; calculated total energy = -34.98 eV per cell; density of states at the Fermi level = 0.463 states/eV/atom
1.0
-1.447 -1.118 2.419
-1.448 -2.657 -0.194
3.312 -3.694 2.174
Cr C Sc
1 2 1
direct
0.000 0.000 0.000 Cr
0.260 0.260 0.219 C
0.740 0.740 0.781 C
0.500 0.500 0.500 Sc

2.
InAgI2 PBE optimized geometry; calculated total energy = -9.86 eV per cell; formation energy without anion corrections = -0.2932 eV/atom
1.0
4.504 0.000 0.000
2.252 3.901 0.000
2.252 1.300 7.987
I Ag In
2 1 1
direct
0.264 0.264 0.209 I
0.070 0.070 0.791 I
0.667 0.667 0.999 Ag
0.500 0.500 0.501 In

3.
ZnSbCl2 PBE optimized geometry; calculated total energy = -9.19 eV per cell; E above lowest polymorph = 0.523 eV/atom; density of states at the Fermi level = 0.206 states/eV/atom; formation energy without anion corrections = -0.0252 eV/atom
1.0
3.252 0.000 0.000
0.000 4.352 0.000
0.000 0.000 6.405
Cl Zn Sb
2 1 1
direct
0.000 0.000 0.493 Cl
0.000 0.000 0.007 Cl
0.500 0.500 0.750 Zn
0.500 0.500 0.250 Sb

4.
Li2Cd3Pd2 PBE optimized geometry; calculated total energy = -38.48 eV per cell; E above lowest polymorph = 0.022 eV/atom; density of states at the Fermi level = 0.384 states/eV/atom
1.0
6.705 0.000 -2.304
0.000 8.616 0.000
1.377 0.000 4.050
Cd Li Pd
6 4 4
direct
0.801 0.500 0.501 Cd
0.000 0.000 0.000 Cd
0.500 0.500 0.000 Cd
0.699 0.000 0.499 Cd
0.199 0.500 0.499 Cd
0.301 0.000 0.501 Cd
0.750 0.250 0.000 Li
0.250 0.750 0.000 Li
0.750 0.750 0.000 Li
0.250 0.250 0.000 Li
0.000 0.784 0.500 Pd
0.000 0.216 0.500 Pd
0.500 0.284 0.500 Pd
0.500 0.716 0.500 Pd

5.
KYPb PBE optimized geometry; calculated total energy = -23.73 eV per cell; E above lowest polymorph = 0.091 eV/atom; density of states at the Fermi level = 0.060 states/eV/atom
1.0
4.958 -2.862 0.000
0.000 5.725 0.000
0.000 0.000 6.720
Pb Y K
2 2 2
direct
0.333 0.667 0.250 Pb
0.667 0.333 0.750 Pb
0.333 0.667 0.750 Y
0.667 0.333 0.250 Y
0.000 0.000 0.500 K
0.000 0.000 0.000 K

6.
PrTl2Pb PBE optimized geometry; calculated total energy = -14.61 eV per cell; density of states at the Fermi level = 0.481 states/eV/atom
1.0
5.079 0.000 0.000
0.000 4.785 0.000
0.000 0.000 4.785
Tl Pb Pr
2 1 1
direct
0.000 0.500 0.000 Tl
0.000 0.000 0.500 Tl
0.500 0.000 0.000 Pb
0.500 0.500 0.500 Pr

Number 1: total magnetization 0.839 μB/f.u.. Number 2: total magnetization 0.000 μB/f.u.. Number 3: total magnetization 0.000 μB/f.u.. Number 4: total magnetization 0.000 μB/f.u.. Number 5: total magnetization 0.000 μB/f.u.. Number 6: total magnetization 0.000 μB/f.u..